Compound: Na2Li2La
Source: the Alexandria database
Functional: PBE
Structure: optimized geometry

a b c (Å): 9.3347 9.3347 3.3793
angles (deg): 90.00 90.00 90.00
Closest atoms and distances in Å follow each position.
Sites, in units of the cell vectors:
Na  0.1231  0.3769  0.0000  6 Li 3.11-3.33, 3 Na 3.25-3.38
Na  0.3769  0.8769  0.0000  6 Li 3.11-3.33, 3 Na 3.25-3.38
Na  0.6231  0.1231  0.0000  6 Li 3.11-3.33, 3 Na 3.25-3.38
Na  0.8769  0.6231  0.0000  6 Li 3.11-3.33, 3 Na 3.25-3.38
La  0.5000  0.5000  0.0000  2 La 3.38, 4 Na 3.70
La  0.0000  0.0000  0.0000  2 La 3.38, 4 Na 3.70
Li  0.1793  0.6793  0.5000  6 Na 3.11-3.33, 2 Li 3.38
Li  0.8207  0.3207  0.5000  6 Na 3.11-3.33, 2 Li 3.38
Li  0.6793  0.8207  0.5000  6 Na 3.11-3.33, 2 Li 3.38
Li  0.3207  0.1793  0.5000  6 Na 3.11-3.33, 2 Li 3.38

Results
The mass density is 2.24 g/cm³. The calculation puts the volume at 29.4 Å³/atom. The calculation puts the formation energy at 0.155 eV/atom. The total magnetization comes out at 0.000 μB per formula unit. The crystal system is tetragonal. For the distance to the lowest polymorph of the same formula, the calculation gives 0.0 meV/atom. The space group is No. 127.